# Np2NiGe3 GGA-PBE relaxed
# - volume (A^3/atom) = 19.65
# - offset from the most stable computed form (meV/atom) = 47
# - E_tot (eV/f.u.) = -46.66
# - magnetic moment (μB per cell) = 8.0
# - calculated density (Mg/m³) = 10.6
# - DFT formation energy (eV/atom) = -0.19
data_Np2NiGe3
_symmetry_space_group_name_H-M 'P m m 2'
_symmetry_Int_Tables_number 25
_symmetry_space_group_name_Hall 'P 2 -2'
_cell_length_a 3.891
_cell_length_b 4.225
_cell_length_c 7.170
_cell_angle_alpha 90.00
_cell_angle_beta 90.00
_cell_angle_gamma 90.00
loop_
_atom_site_label
_atom_site_type_symbol
_atom_site_fract_x
_atom_site_fract_y
_atom_site_fract_z
Np1 Np 0.000 0.000 0.000
Np2 Np 0.000 0.500 0.495
Ni1 Ni 0.500 0.000 0.317
Ge1 Ge 0.500 0.000 0.643
Ge2 Ge 0.500 0.500 0.178
Ge3 Ge 0.500 0.500 0.830